No. 1
Crystalline Fe4Pb at its relaxed geometry. Source: the Alexandria database, functional PBE-GGA.

Values from the calculation:
distance to the lowest polymorph of the same formula = 8.09 eV per formula unit
calculated formation energy = 1.97 eV per atom
symmetry = Pm-3m (221)

abc: 4.8314 4.8314 4.8314
angles: 90.00 90.00 90.00
Closest atoms and distances in Å follow each position.
Fractional coordinates of all 5 atoms:
Fe 0.0000 0.5000 0.5000  2 Pb 2.42
Fe 0.5000 0.5000 0.0000  2 Pb 2.42
Fe 0.0000 0.0000 0.0000  12 Fe 3.42
Fe 0.5000 0.0000 0.5000  2 Pb 2.42
Pb 0.5000 0.5000 0.5000  6 Fe 2.42

=====

No. 2
Crystalline Fe4Pb at its relaxed geometry. Source: the Alexandria database, functional PBE-GGA.

Values from the calculation:
distance to the lowest polymorph of the same formula = 5.34 eV per formula unit
calculated formation energy = 1.42 eV per atom
symmetry = Im-3m (229)

abc: 5.0983 5.0983 5.0983
angles: 109.47 109.47 109.47
Closest atoms and distances in Å follow each position.
Fractional coordinates of all 5 atoms:
Fe 0.0000 0.0000 0.5000  2 Pb 2.55
Fe 0.5000 0.5000 0.5000  2 Pb 2.55
Fe 0.0000 0.5000 0.0000  2 Pb 2.55
Fe 0.5000 0.0000 0.0000  2 Pb 2.55
Pb 0.0000 0.0000 0.0000  8 Fe 2.55

=====

No. 3
Crystalline FePb3 at its relaxed geometry. Source: the Alexandria database, functional PBE-GGA.

Values from the calculation:
calculated formation energy = 0.42 eV per atom
symmetry = Pmm2 (25)

abc: 3.4279 3.6040 8.7459
angles: 90.00 90.00 90.00
Closest atoms and distances in Å follow each position.
Fractional coordinates of all 4 atoms:
Pb 0.0000 0.5000 0.2523  2 Fe 2.80
Pb 0.5000 0.5000 0.8664  4 Fe 2.77
Pb 0.5000 0.0000 0.5408  10 Pb 3.37-3.60
Fe 0.0000 0.0000 0.0072  6 Pb 2.77-2.80

=====

No. 4
Crystalline FePb3 at its relaxed geometry. Source: the Alexandria database, functional PBE-GGA.

Values from the calculation:
calculated formation energy = 0.38 eV per atom
symmetry = Pmmn (59)

abc: 3.5210 9.2615 6.4860
angles: 90.00 90.00 90.00
Closest atoms and distances in Å follow each position.
Fractional coordinates of all 8 atoms:
Pb 0.0000 0.1648 0.7571  2 Fe 2.81
Pb 0.0000 0.5478 0.5000  2 Fe 2.76
Pb 0.5000 0.4522 0.0000  2 Fe 2.76
Pb 0.5000 0.8352 0.7429  2 Fe 2.81
Pb 0.0000 0.1648 0.2429  2 Fe 2.81
Pb 0.5000 0.8352 0.2571  2 Fe 2.81
Fe 0.0000 0.6817 0.0000  6 Pb 2.76-2.81
Fe 0.5000 0.3183 0.5000  6 Pb 2.76-2.81

=====

No. 5
Crystalline FePb3 at its relaxed geometry. Source: the Alexandria database, functional PBE-GGA.

Values from the calculation:
calculated formation energy = 0.39 eV per atom
symmetry = Cmcm (63)

abc: 9.9056 9.9056 3.5215
angles: 90.00 90.00 141.94
Closest atoms and distances in Å follow each position.
Fractional coordinates of all 8 atoms:
Fe 0.3401 0.6599 0.2500  6 Pb 2.78-2.82
Fe 0.6599 0.3401 0.7500  6 Pb 2.78-2.82
Pb 0.7745 0.2255 0.2500  2 Fe 2.78
Pb 0.6727 0.8369 0.7500  2 Fe 2.82
Pb 0.2255 0.7745 0.7500  2 Fe 2.78
Pb 0.1631 0.3273 0.7500  2 Fe 2.82
Pb 0.3273 0.1631 0.2500  2 Fe 2.82
Pb 0.8369 0.6727 0.2500  2 Fe 2.82

=====

No. 6
Crystalline Fe3Pb2 at its relaxed geometry. Source: the Alexandria database, functional PBE-GGA.

Values from the calculation:
calculated formation energy = 0.63 eV per atom
symmetry = R-3m (166)

abc: 10.6987 10.6987 10.6987
angles: 17.21 17.21 17.21
Closest atoms and distances in Å follow each position.
Fractional coordinates of all 5 atoms:
Fe 0.1913 0.1913 0.1913  3 Fe 2.42
Fe 0.8087 0.8087 0.8087  3 Fe 2.42
Fe 0.0000 0.0000 0.0000  6 Pb 2.88, 6 Fe 3.20
Pb 0.4033 0.4033 0.4033  6 Fe 2.88-2.93, 6 Pb 3.20
Pb 0.5967 0.5967 0.5967  6 Fe 2.88-2.93, 6 Pb 3.20

=====

No. 7
Crystalline FePb3 at its relaxed geometry. Source: the Alexandria database, functional PBE-GGA.

Values from the calculation:
calculated formation energy = 0.37 eV per atom
symmetry = R-3m (166)

abc: 10.7456 10.7456 10.7456
angles: 18.08 18.08 18.08
Closest atoms and distances in Å follow each position.
Fractional coordinates of all 4 atoms:
Fe 0.0000 0.0000 0.0000  6 Pb 2.89
Pb 0.2661 0.2661 0.2661  3 Fe 2.89
Pb 0.7339 0.7339 0.7339  3 Fe 2.89
Pb 0.5000 0.5000 0.5000  12 Pb 3.38-3.71

=====

No. 8
Crystalline Fe5Pb at its relaxed geometry. Source: the Alexandria database, functional PBE-GGA.

Values from the calculation:
distance to the lowest polymorph of the same formula = 0.02 eV per formula unit
calculated formation energy = 0.28 eV per atom
symmetry = P4/mmm (123)

abc: 3.0931 3.0931 8.9109
angles: 90.00 90.00 90.00
Closest atoms and distances in Å follow each position.
Fractional coordinates of all 6 atoms:
Fe 0.0000 0.0000 0.7838  5 Fe 2.49-2.53
Fe 0.5000 0.5000 0.6503  9 Fe 2.49-2.68
Fe 0.5000 0.5000 0.3497  9 Fe 2.49-2.68
Fe 0.0000 0.0000 0.2162  5 Fe 2.49-2.53
Fe 0.0000 0.0000 0.5000  10 Fe 2.53-2.56
Pb 0.5000 0.5000 0.0000  10 Fe 2.91-3.12, 4 Pb 3.09

=====

No. 9
Crystalline FePb3 at its relaxed geometry. Source: the Alexandria database, functional PBE-GGA.

Values from the calculation:
calculated formation energy = 0.60 eV per atom
symmetry = R-3m (166)

abc: 6.1852 6.1852 6.1852
angles: 116.78 116.78 116.78
Closest atoms and distances in Å follow each position.
Fractional coordinates of all 4 atoms:
Pb 0.0000 0.5000 0.5000  2 Fe 3.24, 6 Pb 3.24-3.37
Pb 0.5000 0.5000 0.0000  6 Pb 3.24-3.37, 2 Fe 3.24
Pb 0.5000 0.0000 0.5000  6 Pb 3.24-3.37, 2 Fe 3.24
Fe 0.0000 0.0000 0.0000  6 Pb 3.24, 2 Fe 3.37

=====

No. 10
Crystalline FePb3 at its relaxed geometry. Source: the Alexandria database, functional PBE-GGA.

Values from the calculation:
calculated formation energy = 0.36 eV per atom
symmetry = Imm2 (44)

abc: 5.8470 5.8470 5.8470
angles: 143.77 115.04 76.71
Closest atoms and distances in Å follow each position.
Fractional coordinates of all 4 atoms:
Fe 0.9283 0.0000 0.9283  6 Pb 2.75-2.87
Pb 0.9645 0.3121 0.6523  2 Fe 2.87
Pb 0.6004 0.5000 0.1004  2 Fe 2.75
Pb 0.3402 0.6879 0.6523  2 Fe 2.87

=====

No. 11
Crystalline FePb3 at its relaxed geometry. Source: the Alexandria database, functional PBE-GGA.

Values from the calculation:
calculated formation energy = 0.37 eV per atom
symmetry = Immm (71)

abc: 7.5653 7.5653 7.5653
angles: 154.87 144.21 44.23
Closest atoms and distances in Å follow each position.
Fractional coordinates of all 4 atoms:
Pb 0.5000 0.5000 0.0000  4 Fe 2.85
Pb 0.1790 0.6790 0.5000  2 Fe 3.00, 2 Pb 3.29
Pb 0.8210 0.3210 0.5000  2 Fe 3.00, 2 Pb 3.29
Fe 0.0000 0.0000 0.0000  8 Pb 2.85-3.00

=====

No. 12
Crystalline Fe7Pb at its relaxed geometry. Source: the Alexandria database, functional PBE-GGA.

Values from the calculation:
calculated formation energy = 0.34 eV per atom
symmetry = Fm-3m (225)

abc: 5.3104 5.3104 5.3104
angles: 60.00 60.00 60.00
Closest atoms and distances in Å follow each position.
Fractional coordinates of all 8 atoms:
Fe 0.0000 0.5000 0.5000  2 Pb 2.66, 10 Fe 2.66
Fe 0.5000 0.5000 0.5000  12 Fe 2.66
Fe 0.5000 0.0000 0.0000  10 Fe 2.66, 2 Pb 2.66
Fe 0.0000 0.5000 0.0000  10 Fe 2.66, 2 Pb 2.66
Fe 0.0000 0.0000 0.5000  10 Fe 2.66, 2 Pb 2.66
Fe 0.5000 0.0000 0.5000  2 Pb 2.66, 10 Fe 2.66
Fe 0.5000 0.5000 0.0000  2 Pb 2.66, 10 Fe 2.66
Pb 0.0000 0.0000 0.0000  12 Fe 2.66